<A>
CeSm2Dy8 after structural relaxation, computed with PBE-GGA.

Summary:
Mass density ... 7.843 Mg/m³
Magnetization ... 1.20 μB per formula unit

abc: 5.5854 10.1417 10.1417
angles: 39.98 92.83 92.83
Closest atoms and distances in Å follow each position.
Positions (direct):
Dy (0.7667, 0.8144, 0.8144)  4 Sm 3.35-3.52, 4 Dy 3.46-3.55, 1 Ce 3.70
Dy (0.2670, 0.6047, 0.1343)  4 Dy 3.26-3.55, 3 Sm 3.44-3.63, 1 Ce 3.49
Dy (0.7330, 0.3953, 0.8657)  4 Dy 3.26-3.55, 3 Sm 3.44-3.63, 1 Ce 3.49
Dy (0.7330, 0.8657, 0.3953)  4 Dy 3.26-3.55, 3 Sm 3.44-3.63, 1 Ce 3.49
Dy (0.2670, 0.1343, 0.6047)  4 Dy 3.26-3.55, 3 Sm 3.44-3.63, 1 Ce 3.49
Dy (0.2372, 0.5463, 0.5463)  1 Dy 3.10, 1 Sm 3.24
Dy (0.2333, 0.1856, 0.1856)  4 Sm 3.35-3.52, 4 Dy 3.46-3.55, 1 Ce 3.70
Dy (0.7628, 0.4537, 0.4537)  1 Dy 3.10, 1 Sm 3.24
Ce (0.0000, 0.0000, 0.0000)  10 Dy 3.49-3.80
Sm (0.2505, 0.7166, 0.7166)  9 Dy 3.24-3.62
Sm (0.7495, 0.2834, 0.2834)  9 Dy 3.24-3.62

***

<B>
CeSm2Dy8 after structural relaxation, computed with PBE-GGA.

Summary:
Mass density ... 8.254 Mg/m³
Magnetization ... 1.09 μB per formula unit

abc: 5.0308 7.9549 9.4124
angles: 104.68 105.50 90.00
Closest atoms and distances in Å follow each position.
Positions (direct):
Ce (0.5000, 0.0000, 0.0000)  12 Dy 3.53-3.55
Sm (0.7716, 0.3628, 0.5431)  2 Sm 3.55, 10 Dy 3.55-3.60
Sm (0.2284, 0.6372, 0.4569)  2 Sm 3.55, 10 Dy 3.55-3.60
Dy (0.8648, 0.8212, 0.7296)  7 Dy 3.51-3.59, 2 Ce 3.54, 3 Sm 3.56-3.59
Dy (0.3200, 0.0926, 0.6399)  1 Ce 3.53, 8 Dy 3.54-3.60, 3 Sm 3.57
Dy (0.9555, 0.2694, 0.9110)  9 Dy 3.51-3.60, 2 Ce 3.53, 1 Sm 3.60
Dy (0.5899, 0.4534, 0.1798)  8 Dy 3.53-3.58, 1 Ce 3.55, 3 Sm 3.55-3.58
Dy (0.0445, 0.7306, 0.0890)  9 Dy 3.51-3.60, 2 Ce 3.53, 1 Sm 3.60
Dy (0.4101, 0.5466, 0.8202)  8 Dy 3.53-3.58, 1 Ce 3.55, 3 Sm 3.55-3.58
Dy (0.1352, 0.1788, 0.2704)  7 Dy 3.51-3.59, 2 Ce 3.54, 3 Sm 3.56-3.59
Dy (0.6800, 0.9074, 0.3601)  1 Ce 3.53, 8 Dy 3.54-3.60, 3 Sm 3.57

***

What is the stability order? It is <B>, <A>, from most stable to least stable.

***

<A>
CeSmDyTh after structural relaxation, computed with PBE-GGA.

Summary:
Mass density ... 8.838 Mg/m³
Magnetization ... 2.22 μB per formula unit

abc: 5.6672 5.6672 5.6672
angles: 60.00 60.00 60.00
Closest atoms and distances in Å follow each position.
Positions (direct):
Ce (0.5000, 0.5000, 0.5000)  4 Th 3.47, 4 Sm 3.47
Sm (0.2500, 0.2500, 0.2500)  4 Dy 3.47, 4 Ce 3.47
Th (0.7500, 0.7500, 0.7500)  4 Dy 3.47, 4 Ce 3.47
Dy (0.0000, 0.0000, 0.0000)  4 Th 3.47, 4 Sm 3.47

***

<B>
CeSmDyTh after structural relaxation, computed with PBE-GGA.

Summary:
Mass density ... 9.044 Mg/m³
Magnetization ... 0.00 μB per formula unit

abc: 3.5581 3.5580 11.6552
angles: 90.00 98.79 120.00
Closest atoms and distances in Å follow each position.
Positions (direct):
Dy (0.4739, 0.1348, 0.6236)  3 Ce 3.50, 6 Dy 3.56, 3 Sm 3.62
Sm (0.9674, 0.3816, 0.3642)  3 Th 3.55-3.56, 6 Sm 3.56, 3 Dy 3.62
Th (0.1324, 0.9638, 0.1114)  3 Ce 3.44-3.45, 3 Sm 3.55-3.56, 6 Th 3.56
Ce (0.3041, 0.5506, 0.8705)  3 Th 3.44-3.45, 3 Dy 3.50, 6 Ce 3.56

***

What is the stability order? It is <B>, <A>, from most stable to least stable.

***

<A>
CeDySn after structural relaxation, computed with PBE-GGA.

Summary:
Mass density ... 8.405 Mg/m³
Magnetization ... 1.39 μB per formula unit

abc: 5.4551 5.4551 6.4601
angles: 90.00 90.00 120.00
Closest atoms and distances in Å follow each position.
Positions (direct):
Dy (0.6668, 0.8332, 0.2500)  5 Sn 3.15-3.23
Dy (0.3332, 0.1668, 0.7500)  5 Sn 3.15-3.23
Ce (0.0000, 0.5000, 0.0000)  2 Ce 3.23, 6 Dy 3.54, 6 Sn 3.54
Ce (0.0000, 0.5000, 0.5000)  2 Ce 3.23, 6 Dy 3.54, 6 Sn 3.54
Sn (0.6666, 0.8334, 0.7500)  5 Dy 3.15-3.23
Sn (0.3334, 0.1666, 0.2500)  5 Dy 3.15-3.23

***

<B>
CeDySn after structural relaxation, computed with PBE-GGA.

Summary:
Mass density ... 8.533 Mg/m³
Magnetization ... 0.65 μB per formula unit

abc: 4.0489 4.0489 10.0034
angles: 90.00 90.00 90.00
Closest atoms and distances in Å follow each position.
Positions (direct):
Dy (0.5000, 0.0000, 0.0948)  5 Sn 3.24-3.42, 1 Ce 3.29, 4 Dy 3.43
Dy (0.0000, 0.5000, 0.9052)  5 Sn 3.24-3.42, 1 Ce 3.29, 4 Dy 3.43
Ce (0.5000, 0.0000, 0.4236)  4 Ce 3.25, 1 Dy 3.29, 5 Sn 3.29-3.36
Ce (0.0000, 0.5000, 0.5764)  4 Ce 3.25, 1 Dy 3.29, 5 Sn 3.29-3.36
Sn (0.5000, 0.0000, 0.7526)  5 Dy 3.24-3.42, 5 Ce 3.29-3.36
Sn (0.0000, 0.5000, 0.2474)  5 Dy 3.24-3.42, 5 Ce 3.29-3.36

***

What is the stability order? It is <A>, <B>, from most stable to least stable.

***

<A>
CeDySn after structural relaxation, computed with PBE-GGA.

Summary:
Mass density ... 8.821 Mg/m³
Magnetization ... 1.22 μB per formula unit

abc: 3.2651 5.2961 5.2961
angles: 120.00 90.00 90.00
Closest atoms and distances in Å follow each position.
Positions (direct):
Sn (0.6661, 0.6667, 0.3333)  2 Sn 3.27, 6 Ce 3.46-3.47, 6 Dy 3.47
Ce (0.1673, 0.3333, 0.6667)  3 Dy 3.06, 2 Ce 3.27
Dy (0.1666, 0.0000, 0.0000)  3 Ce 3.06, 2 Dy 3.27

***

<B>
CeDySn after structural relaxation, computed with PBE-GGA.

Summary:
Mass density ... 8.340 Mg/m³
Magnetization ... 0.90 μB per formula unit

abc: 4.1011 4.1011 5.7694
angles: 110.82 110.82 90.00
Closest atoms and distances in Å follow each position.
Positions (direct):
Dy (0.9846, 0.9846, 0.9693)  1 Ce 3.06, 4 Sn 3.25
Ce (0.6780, 0.6780, 0.3560)  1 Dy 3.06, 5 Sn 3.31-3.40
Sn (0.3374, 0.3374, 0.6747)  5 Dy 3.25-3.52, 5 Ce 3.31-3.40

***

<C>
CeDySn after structural relaxation, computed with PBE-GGA.

Summary:
Mass density ... 8.279 Mg/m³
Magnetization ... 0.48 μB per formula unit

abc: 4.3839 4.3839 9.3242
angles: 103.60 103.60 90.00
Closest atoms and distances in Å follow each position.
Positions (direct):
Sn (0.3586, 0.3586, 0.7172)  5 Dy 3.17-3.18, 4 Ce 3.32
Sn (0.6414, 0.6414, 0.2828)  5 Dy 3.17-3.18, 4 Ce 3.32
Dy (0.1778, 0.1778, 0.3556)  5 Sn 3.17-3.18
Dy (0.8222, 0.8222, 0.6444)  5 Sn 3.17-3.18
Ce (0.0000, 0.5000, 0.0000)  4 Ce 3.10, 4 Sn 3.32
Ce (0.5000, 0.0000, 0.0000)  4 Ce 3.10, 4 Sn 3.32

***

What is the stability order? It is <C>, <B>, <A>, from most stable to least stable.

***

<A>
Tb2CeDy after structural relaxation, computed with PBE-GGA.

Summary:
Mass density ... 8.217 Mg/m³
Magnetization ... 0.49 μB per formula unit

abc: 5.0076 5.0038 5.0038
angles: 90.00 90.00 90.00
Closest atoms and distances in Å follow each position.
Positions (direct):
Dy (0.5000, 0.5000, 0.5000)  4 Ce 3.54, 8 Tb 3.54
Tb (0.0000, 0.5000, 0.0000)  4 Tb 3.54, 4 Dy 3.54, 4 Ce 3.54
Tb (0.0000, 0.0000, 0.5000)  4 Tb 3.54, 4 Dy 3.54, 4 Ce 3.54
Ce (0.5000, 0.0000, 0.0000)  4 Dy 3.54, 8 Tb 3.54

***

<B>
Tb2CeDy after structural relaxation, computed with PBE-GGA.

Summary:
Mass density ... 8.229 Mg/m³
Magnetization ... 0.80 μB per formula unit

abc: 3.5381 3.5381 11.7290
angles: 81.33 81.33 60.00
Closest atoms and distances in Å follow each position.
Positions (direct):
Tb (0.2500, 0.2500, 0.2500)  3 Ce 3.52, 3 Dy 3.53, 6 Tb 3.54
Tb (0.0831, 0.0831, 0.7506)  6 Tb 3.54, 3 Dy 3.54, 3 Ce 3.56
Ce (0.5005, 0.5005, 0.4985)  6 Tb 3.52-3.56, 6 Ce 3.54
Dy (0.6664, 0.6664, 0.0009)  6 Tb 3.53-3.54, 6 Dy 3.54

***

What is the stability order? It is <B>, <A>, from most stable to least stable.

***

<A>
Tb2CeDy after structural relaxation, computed with PBE-GGA.

Summary:
Mass density ... 8.246 Mg/m³
Magnetization ... 0.61 μB per formula unit

abc: 3.5305 3.5305 10.0245
angles: 90.00 90.00 90.00
Closest atoms and distances in Å follow each position.
Positions (direct):
Ce (0.5000, 0.5000, 0.0000)  8 Tb 3.51, 4 Ce 3.53
Dy (0.5000, 0.5000, 0.5000)  4 Dy 3.53, 8 Tb 3.57
Tb (0.0000, 0.0000, 0.2457)  4 Ce 3.51, 4 Tb 3.53, 4 Dy 3.57
Tb (0.0000, 0.0000, 0.7543)  4 Ce 3.51, 4 Tb 3.53, 4 Dy 3.57

***

<B>
Tb2CeDy after structural relaxation, computed with PBE-GGA.

Summary:
Mass density ... 8.008 Mg/m³
Magnetization ... 2.20 μB per formula unit

abc: 5.6665 5.6665 5.6665
angles: 60.00 60.00 60.00
Closest atoms and distances in Å follow each position.
Positions (direct):
Dy (0.0000, 0.0000, 0.0000)  8 Tb 3.47
Ce (0.5000, 0.5000, 0.5000)  8 Tb 3.47
Tb (0.2500, 0.2500, 0.2500)  4 Dy 3.47, 4 Ce 3.47
Tb (0.7500, 0.7500, 0.7500)  4 Dy 3.47, 4 Ce 3.47

***

<C>
Tb2CeDy after structural relaxation, computed with PBE-GGA.

Summary:
Mass density ... 8.284 Mg/m³
Magnetization ... 0.70 μB per formula unit

abc: 3.4147 3.4147 12.4732
angles: 82.13 82.13 60.00
Closest atoms and distances in Å follow each position.
Positions (direct):
Dy (0.5000, 0.5000, 0.5000)  6 Dy 3.41, 6 Tb 3.49
Tb (0.0886, 0.0886, 0.7343)  1 Ce 3.27, 6 Tb 3.41, 3 Dy 3.49
Tb (0.9114, 0.9114, 0.2657)  1 Ce 3.27, 6 Tb 3.41, 3 Dy 3.49
Ce (0.0000, 0.0000, 0.0000)  2 Tb 3.27, 6 Ce 3.41

***

What is the stability order? It is <A>, <C>, <B>, from most stable to least stable.

***

<A>
Tb4CeDy3 after structural relaxation, computed with PBE-GGA.

Summary:
Mass density ... 8.143 Mg/m³
Magnetization ... 0.87 μB per formula unit

abc: 3.4246 6.7466 11.7734
angles: 106.63 98.36 90.00
Closest atoms and distances in Å follow each position.
Positions (direct):
Tb (0.8758, 0.6336, 0.7516)  3 Dy 3.27-3.48, 5 Tb 3.42-3.52, 2 Ce 3.64
Tb (0.1242, 0.3664, 0.2484)  3 Dy 3.27-3.48, 5 Tb 3.42-3.52, 2 Ce 3.64
Tb (0.2589, 0.7598, 0.5178)  9 Tb 3.42-3.81, 3 Dy 3.47-3.52
Tb (0.7411, 0.2402, 0.4822)  9 Tb 3.42-3.81, 3 Dy 3.47-3.52
Dy (0.0000, 0.5000, 0.0000)  2 Tb 3.27, 4 Dy 3.27-3.42
Dy (0.8757, 0.1176, 0.7515)  5 Tb 3.27-3.52, 3 Dy 3.27-3.42, 2 Ce 3.64
Dy (0.1243, 0.8824, 0.2485)  5 Tb 3.27-3.52, 3 Dy 3.27-3.42, 2 Ce 3.64
Ce (0.5000, 0.0000, 0.0000)  2 Ce 3.42, 8 Dy 3.64-3.78, 4 Tb 3.64

***

<B>
Tb4CeDy3 after structural relaxation, computed with PBE-GGA.

Summary:
Mass density ... 8.288 Mg/m³
Magnetization ... 1.08 μB per formula unit

abc: 5.0289 10.0403 10.0262
angles: 90.00 90.00 90.00
Closest atoms and distances in Å follow each position.
Positions (direct):
Dy (0.5644, 0.3763, 0.2490)  5 Dy 3.52-3.56, 4 Tb 3.54-3.56, 3 Ce 3.54-3.55
Dy (0.5644, 0.3763, 0.7510)  5 Dy 3.52-3.56, 4 Tb 3.54-3.56, 3 Ce 3.54-3.55
Dy (0.5644, 0.6230, 0.0000)  6 Dy 3.52-3.56, 2 Ce 3.54, 4 Tb 3.56-3.57
Dy (0.0644, 0.3770, 0.5000)  6 Dy 3.52-3.56, 2 Ce 3.54, 4 Tb 3.56-3.57
Dy (0.0644, 0.6237, 0.7490)  5 Dy 3.52-3.56, 4 Tb 3.54-3.56, 3 Ce 3.54-3.55
Dy (0.0644, 0.6237, 0.2510)  5 Dy 3.52-3.56, 4 Tb 3.54-3.56, 3 Ce 3.54-3.55
Tb (0.5644, 0.1249, 0.5000)  8 Tb 3.55-3.56, 4 Dy 3.56-3.57
Tb (0.5644, 0.1266, 0.0000)  2 Dy 3.54, 2 Ce 3.54, 8 Tb 3.54-3.57
Tb (0.0644, 0.8734, 0.5000)  2 Dy 3.54, 2 Ce 3.54, 8 Tb 3.54-3.57
Tb (0.0644, 0.1262, 0.2489)  1 Ce 3.53, 8 Tb 3.54-3.57, 3 Dy 3.55-3.56
Tb (0.0644, 0.1262, 0.7511)  1 Ce 3.53, 8 Tb 3.54-3.57, 3 Dy 3.55-3.56
Tb (0.0644, 0.8751, 0.0000)  8 Tb 3.55-3.56, 4 Dy 3.56-3.57
Tb (0.5644, 0.8738, 0.7489)  1 Ce 3.53, 8 Tb 3.54-3.57, 3 Dy 3.55-3.56
Tb (0.5644, 0.8738, 0.2511)  1 Ce 3.53, 8 Tb 3.54-3.57, 3 Dy 3.55-3.56
Ce (0.5644, 0.6253, 0.5000)  4 Tb 3.53-3.54, 8 Dy 3.54-3.55
Ce (0.0644, 0.3747, 0.0000)  4 Tb 3.53-3.54, 8 Dy 3.54-3.55

***

What is the stability order? It is <B>, <A>, from most stable to least stable.

***

<A>
TbCeDy after structural relaxation, computed with PBE-GGA.

Summary:
Mass density ... 8.272 Mg/m³
Magnetization ... 0.53 μB per formula unit

abc: 3.5244 3.5244 7.8639
angles: 102.95 102.95 90.00
Closest atoms and distances in Å follow each position.
Positions (direct):
Tb (0.9962, 0.9962, 0.9924)  4 Ce 3.48, 4 Tb 3.52, 4 Dy 3.60
Dy (0.6707, 0.6707, 0.3413)  4 Ce 3.48, 4 Dy 3.52, 4 Tb 3.60
Ce (0.3331, 0.3331, 0.6663)  4 Dy 3.48, 4 Tb 3.48, 4 Ce 3.52

***

<B>
TbCeDy after structural relaxation, computed with PBE-GGA.

Summary:
Mass density ... 8.148 Mg/m³
Magnetization ... 0.95 μB per formula unit

abc: 6.5895 10.2674 6.3596
angles: 90.00 119.02 90.00
Closest atoms and distances in Å follow each position.
Positions (direct):
Tb (0.1510, 0.8723, 0.6889)  4 Dy 3.38-3.51, 4 Ce 3.39-3.59, 1 Tb 3.46
Tb (0.6510, 0.6277, 0.6889)  4 Dy 3.38-3.51, 4 Ce 3.39-3.59, 1 Tb 3.46
Tb (0.3490, 0.3723, 0.3111)  4 Dy 3.38-3.51, 4 Ce 3.39-3.59, 1 Tb 3.46
Tb (0.8490, 0.1277, 0.3111)  4 Dy 3.38-3.51, 4 Ce 3.39-3.59, 1 Tb 3.46
Dy (0.2966, 0.0421, 0.2221)  2 Dy 3.35-3.65, 4 Tb 3.38-3.51, 4 Ce 3.40-3.67
Dy (0.2034, 0.5421, 0.7779)  2 Dy 3.35-3.65, 4 Tb 3.38-3.51, 4 Ce 3.40-3.67
Dy (0.7966, 0.4579, 0.2221)  2 Dy 3.35-3.65, 4 Tb 3.38-3.51, 4 Ce 3.40-3.67
Dy (0.7034, 0.9579, 0.7779)  2 Dy 3.35-3.65, 4 Tb 3.38-3.51, 4 Ce 3.40-3.67
Ce (0.3664, 0.2251, 0.8083)  2 Ce 3.33, 4 Tb 3.39-3.59, 4 Dy 3.40-3.67
Ce (0.8664, 0.2749, 0.8083)  2 Ce 3.33, 4 Tb 3.39-3.59, 4 Dy 3.40-3.67
Ce (0.1336, 0.7251, 0.1917)  2 Ce 3.33, 4 Tb 3.39-3.59, 4 Dy 3.40-3.67
Ce (0.6336, 0.7749, 0.1917)  2 Ce 3.33, 4 Tb 3.39-3.59, 4 Dy 3.40-3.67

***

<C>
TbCeDy after structural relaxation, computed with PBE-GGA.

Summary:
Mass density ... 8.272 Mg/m³
Magnetization ... 0.83 μB per formula unit

abc: 5.3588 3.4521 10.1649
angles: 99.78 90.01 90.00
Closest atoms and distances in Å follow each position.
Positions (direct):
Ce (0.8467, 0.7853, 0.9939)  1 Tb 3.33, 5 Dy 3.44-3.66, 6 Ce 3.45-3.59
Ce (0.3470, 0.2042, 0.8296)  1 Tb 3.33, 5 Dy 3.44-3.66, 6 Ce 3.45-3.59
Tb (0.3469, 0.0386, 0.4968)  4 Tb 3.18-3.45, 1 Ce 3.33, 4 Dy 3.54
Tb (0.8468, 0.9514, 0.3267)  4 Tb 3.18-3.45, 1 Ce 3.33, 4 Dy 3.54
Dy (0.8470, 0.6155, 0.6505)  5 Ce 3.44-3.66, 2 Dy 3.45, 6 Tb 3.54-3.68
Dy (0.3467, 0.3745, 0.1731)  5 Ce 3.44-3.66, 2 Dy 3.45, 6 Tb 3.54-3.68

***

What is the stability order? It is <A>, <C>, <B>, from most stable to least stable.